The following is a PBE-GGA calculation of a geometry-optimized Li3TbHg4 structure, from Alexandria via LeMat-Bulk.

## Properties
ΔH_f (0 K)	-381.8	meV/atom

Unit cell a=4.8803 b=4.8803 c=24.2462 alpha=90.00 beta=90.00 gamma=120.00
Last column: nearest neighbours and their distance in Å.
Space group R-3m (No. 166, hexagonal axes)
Inequivalent atoms, fractional coordinates:
Li 0.0000 0.0000 0.0000 x3  8 Hg 2.82-2.97
Li 0.0000 0.0000 0.2527 x6  7 Hg 2.88-3.00
Tb 0.0000 0.0000 0.5000 x3  8 Hg 3.07-3.11
Hg 0.0000 0.0000 0.1162 x6  4 Li 2.82-2.95, 3 Tb 3.07
Hg 0.0000 0.0000 0.3716 x6  7 Li 2.88-3.00, 1 Tb 3.11

***

The following is a PBE-GGA calculation of a geometry-optimized Li2TbHg3 structure, from Alexandria via LeMat-Bulk.

## Properties
ΔH_f (0 K)	-390.2	meV/atom

Unit cell a=3.4650 b=3.4650 c=10.4818 alpha=90.00 beta=90.00 gamma=90.00
Last column: nearest neighbours and their distance in Å.
Space group P4/mmm (No. 123)
Inequivalent atoms, fractional coordinates:
Li 0.0000 0.0000 0.1532 x2  8 Hg 2.90-2.93, 1 Li 3.21
Tb 0.0000 0.0000 0.5000 x1  8 Hg 3.21, 4 Tb 3.47
Hg 0.5000 0.5000 0.0000 x1  8 Li 2.93, 2 Hg 3.17
Hg 0.5000 0.5000 0.3020 x2  4 Li 2.90, 1 Hg 3.17, 4 Tb 3.21

***

The following is a PBE-GGA calculation of a geometry-optimized LiTbHg5 structure, from Alexandria via LeMat-Bulk.

## Properties
ΔH_f (0 K)	-221.1	meV/atom

Unit cell a=6.5017 b=8.3994 c=6.5475 alpha=90.00 beta=90.00 gamma=90.00
Last column: nearest neighbours and their distance in Å.
Space group Cmmm (No. 65)
Inequivalent atoms, fractional coordinates:
Li 0.0000 0.0000 0.0000 x2  10 Hg 3.13-3.25
Tb 0.0000 0.5000 0.5000 x2  10 Hg 3.11-3.27
Hg 0.0000 0.5000 0.0000 x2  8 Hg 3.13, 2 Li 3.25, 2 Tb 3.27
Hg 0.2500 0.2500 0.2538 x8  2 Tb 3.11, 6 Hg 3.13-3.32, 2 Li 3.13

***

The following is a PBE-GGA calculation of a geometry-optimized LiTbHg3 structure, from Alexandria via LeMat-Bulk.

## Properties
ΔH_f (0 K)	-359.9	meV/atom

Unit cell a=4.4654 b=20.7796 c=4.8259 alpha=90.00 beta=90.00 gamma=90.00
Last column: nearest neighbours and their distance in Å.
Space group Cmcm (No. 63)
Inequivalent atoms, fractional coordinates:
Li 0.0000 0.2475 0.2500 x4  8 Hg 2.80-3.01
Tb 0.0000 0.4344 0.2500 x4  10 Hg 3.12-3.30
Hg 0.0000 0.0509 0.2500 x4  6 Hg 3.21-3.47, 6 Tb 3.29-3.30
Hg 0.0000 0.1706 0.7500 x4  4 Li 2.81-2.89, 2 Tb 3.12
Hg 0.0000 0.3341 0.7500 x4  4 Li 2.80-3.01

***

The following is a PBE-GGA calculation of a geometry-optimized LiTb3Hg4 structure, from Alexandria via LeMat-Bulk.

## Properties
ΔH_f (0 K)	-455.8	meV/atom

Unit cell a=5.1605 b=5.1605 c=25.6838 alpha=90.00 beta=90.00 gamma=120.00
Last column: nearest neighbours and their distance in Å.
Space group R-3m (No. 166, hexagonal axes)
Inequivalent atoms, fractional coordinates:
Li 0.0000 0.0000 0.0000 x3  8 Hg 3.14-3.16
Tb 0.0000 0.0000 0.2549 x6  8 Hg 3.07-3.40
Tb 0.0000 0.0000 0.5000 x3  8 Hg 3.19-3.23
Hg 0.0000 0.0000 0.1223 x6  1 Li 3.14, 7 Tb 3.18-3.40
Hg 0.0000 0.0000 0.3744 x6  5 Tb 3.07-3.23, 3 Li 3.16

***

The following is a PBE-GGA calculation of a geometry-optimized LiTb3Hg2 structure, from Alexandria via LeMat-Bulk.

## Properties
ΔH_f (0 K)	-316.6	meV/atom

Unit cell a=5.1612 b=15.8303 c=3.7897 alpha=90.00 beta=90.00 gamma=90.00
Last column: nearest neighbours and their distance in Å.
Space group Cmmm (No. 65)
Inequivalent atoms, fractional coordinates:
Li 0.0000 0.0000 0.0000 x2  8 Tb 3.20-3.28, 4 Hg 3.57
Tb 0.0000 0.1693 0.5000 x4  6 Hg 3.21-3.36, 2 Li 3.28
Tb 0.0000 0.5000 0.5000 x2  4 Hg 3.11, 4 Li 3.20
Hg 0.0000 0.3444 0.0000 x4  8 Tb 3.11-3.36

***

Table of total magnetic moment (Bohr magnetons per cell), in record order: 0.000, 0.199, 0.000, 0.000, 0.000, 0.002
Table of uncorrected energy (eV per formula unit), in record order: -14.6, -11.7, -9.6, -9.2, -20.7, -18.3